1.
Below is a relaxed structure of Ca2YHoSe4, with properties calculated at the PBE level.

Cell and atoms, written as POSCAR:
```
Ca2YHoSe4
1.0
4.105 0.000 0.000
0.000 7.105 0.119
0.000 -2.488 6.791
Ca Y Ho Se
2 1 1 4
direct
0.500 0.000 0.500
0.000 0.500 0.500
0.000 0.000 0.000
0.500 0.500 0.000
0.500 0.250 0.246
0.500 0.750 0.754
0.000 0.253 0.755
0.000 0.747 0.245
```

Properties
formation energy without anion corrections = -43.184 kcal/mol of atoms
SG = P2/m (10)
crystal system = monoclinic

=====

2.
Below is a relaxed structure of Ac5Pa2Ir5, with properties calculated at the PBE level.

Cell and atoms, written as POSCAR:
```
Ac5Pa2Ir5
1.0
4.143 0.000 0.793
1.697 6.787 2.355
-0.260 0.159 12.581
Ac Pa Ir
5 2 5
direct
0.500 0.500 0.500
0.347 0.265 0.042
0.253 0.141 0.354
0.747 0.859 0.646
0.653 0.735 0.958
0.972 0.273 0.784
0.028 0.727 0.216
0.888 0.819 0.404
0.348 0.516 0.787
0.652 0.484 0.213
0.112 0.181 0.596
0.000 0.000 0.000
```

Properties
energy of formation = -0.61 eV/atom
SG = C2/m (12)
crystal system = monoclinic

=====

3.
Below is a relaxed structure of MgPtCl2, with properties calculated at the PBE level.

Cell and atoms, written as POSCAR:
```
MgPtCl2
1.0
3.554 0.000 0.000
0.000 3.570 0.000
0.000 0.000 6.880
Cl Mg Pt
2 1 1
direct
0.000 0.000 0.917
0.500 0.500 0.347
0.000 0.000 0.550
0.500 0.500 0.686
```

Properties
formation energy without anion corrections = -13.358 kcal/mol of atoms
SG = Pmm2 (25)
crystal system = orthorhombic
E above lowest polymorph = 286.3 meV/atom

=====

4.
Below is a relaxed structure of GaOsO2, with properties calculated at the PBE level.

Cell and atoms, written as POSCAR:
```
GaOsO2
1.0
1.636 0.000 6.251
-0.818 1.416 6.251
-0.818 -1.416 6.251
Os O Ga
1 2 1
direct
0.000 0.000 0.000
0.891 0.891 0.891
0.109 0.109 0.109
0.500 0.500 0.500
```

Properties
formation energy without anion corrections = -21.408 kcal/mol of atoms
SG = R-3m (166)
crystal system = trigonal